Below is a relaxed structure of Na4MnO4, with properties calculated at the GGA+U level.

Geometry as extended XYZ:
```
9
Lattice="-4.6274 0.1624 -4.5096 1.6345 -4.7394 4.0794 0.1260 2.6509 5.8934" Properties=species:S:1:pos:R:3 pbc="T T T"
Na -2.2507 1.4067 0.6919
Na 1.2553 -1.4892 7.1109
Mn 0.0000 0.0000 0.0000
O -1.1766 -0.5540 1.2786
Na -1.4964 -2.2885 -0.2151
Na 0.5052 -0.5994 2.8619
O 1.1635 -3.1557 3.3073
O 0.2072 1.5296 4.4573
O -1.3004 -1.8346 6.3928
```

Results
E (eV per atom): -4.940
E above lowest polymorph (kJ/mol of formula units): 104
V (Å³/cell): 155.58